The following is a DFT calculation (meta-GGA SCAN) of MgH2Au2 at its PBEsol-relaxed geometry.

a b c (Å): 3.766 5.717 5.717
angles (deg): 90.00 90.00 90.00
Element x y z (fractional)
Au 0.500 0.823 0.677
Mg 0.000 0.000 0.000
H 0.000 0.829 0.671
H 0.000 0.671 0.171
Au 0.500 0.177 0.323
Mg 0.000 0.500 0.500
Au 0.500 0.677 0.177
H 0.000 0.329 0.829
Au 0.500 0.323 0.823
H 0.000 0.171 0.329

## Properties
**Spin magnetization**: 0.0000 μB/atom
**VASP energy**: -302.41 eV per cell


The following is a DFT calculation (meta-GGA SCAN) of MgH2Au at its PBEsol-relaxed geometry.

a b c (Å): 3.924 3.924 3.924
angles (deg): 60.00 60.00 60.00
Element x y z (fractional)
H 0.750 0.750 0.750
Mg 0.000 0.000 0.000
Au 0.500 0.500 0.500
H 0.250 0.250 0.250

## Properties
**Spin magnetization**: 0.0000 μB/atom
**VASP energy**: -80.02 eV per cell


The following is a DFT calculation (meta-GGA SCAN) of Mg2HPbAu at its PBEsol-relaxed geometry.

a b c (Å): 3.611 4.966 4.966
angles (deg): 90.00 90.00 90.00
Element x y z (fractional)
H 0.000 0.000 0.000
Pb 0.500 0.500 0.500
Mg 0.000 0.000 0.500
Au 0.500 0.000 0.000
Mg 0.000 0.500 0.000

## Properties
**Spin magnetization**: 0.0000 μB/atom
**VASP energy**: -159.32 eV per cell


The following is a DFT calculation (meta-GGA SCAN) of Mn3HAu at its PBEsol-relaxed geometry.

a b c (Å): 3.692 3.692 3.692
angles (deg): 90.00 90.00 90.00
Each line ends with the local moment (μB).
Element x y z (fractional)
Au 0.500 0.500 0.500  0.11
Mn 0.000 0.500 0.000  3.27
H 0.000 0.000 0.000  -0.04
Mn 0.500 0.000 0.000  3.27
Mn 0.000 0.000 0.500  3.27

## Properties
**Spin magnetization**: 1.9996 μB/atom
**VASP energy**: -127.53 eV per cell


The following is a DFT calculation (meta-GGA SCAN) of Sr2MnHAu at its PBEsol-relaxed geometry.

a b c (Å): 3.928 5.272 5.272
angles (deg): 90.00 90.00 90.00
Each line ends with the local moment (μB).
Element x y z (fractional)
Sr 0.000 0.500 0.000  -0.05
Au 0.500 0.000 0.000  -0.02
Sr 0.000 0.000 0.500  -0.05
H 0.000 0.000 0.000  0.00
Mn 0.500 0.500 0.500  4.25

## Properties
**Spin magnetization**: 0.8093 μB/atom
**VASP energy**: -136.59 eV per cell


The following is a DFT calculation (meta-GGA SCAN) of MoHAu2 at its PBEsol-relaxed geometry.

a b c (Å): 4.365 4.365 4.365
angles (deg): 60.00 60.00 60.00
Each line ends with the local moment (μB).
Element x y z (fractional)
Au 0.750 0.750 0.750  0.03
Mo 0.500 0.500 0.500  1.70
H 0.000 0.000 0.000  0.07
Au 0.250 0.250 0.250  0.03

## Properties
**Spin magnetization**: 0.4860 μB/atom
**VASP energy**: -172.91 eV per cell